Computed, not measured: a geometry-optimized La3Sn3Ir2 structure at the PBE level of DFT.

Calculated values
E_tot: -6.32 eV per atom
polymorph energy (0 for the lowest one): 19 meV/atom
formation energy from the elements: -73 kJ/mol of atoms
Fermi-level density of states: 29.11 states/eV per cell
spin magnetization: 0.0 μB per formula unit

Cell: 8.603 15.999 6.017 Å, 90.00 90.00 90.00°
Element x y z (fractional)
La  0.034  0.111  0.108
La  0.034  0.389  0.108
La  0.169  0.250  0.634
La  0.331  0.750  0.134
La  0.466  0.611  0.608
La  0.466  0.889  0.608
La  0.534  0.111  0.392
La  0.534  0.389  0.392
La  0.669  0.250  0.866
La  0.831  0.750  0.366
La  0.966  0.611  0.892
La  0.966  0.889  0.892
Sn  0.174  0.750  0.618
Sn  0.183  0.034  0.613
Sn  0.183  0.466  0.613
Sn  0.317  0.534  0.113
Sn  0.317  0.966  0.113
Sn  0.326  0.250  0.118
Sn  0.674  0.750  0.882
Sn  0.683  0.034  0.887
Sn  0.683  0.466  0.887
Sn  0.817  0.534  0.387
Sn  0.817  0.966  0.387
Sn  0.826  0.250  0.382
Ir  0.095  0.611  0.367
Ir  0.095  0.889  0.367
Ir  0.405  0.111  0.867
Ir  0.405  0.389  0.867
Ir  0.595  0.611  0.133
Ir  0.595  0.889  0.133
Ir  0.905  0.111  0.633
Ir  0.905  0.389  0.633